Record 1
DFT (PBE-GGA) results for a relaxed NbFe2Au crystal.

```
NbFe2Au
1.0
6.0824 0.0000 0.0000
0.0000 6.0824 0.0000
0.0000 0.0000 6.0824
Nb Fe Au
4 8 4
Direct
0.0000 0.0000 0.0000
0.0000 0.5000 0.5000
0.5000 0.0000 0.5000
0.5000 0.5000 0.0000
0.2500 0.2500 0.2500
0.2500 0.2500 0.7500
0.2500 0.7500 0.2500
0.2500 0.7500 0.7500
0.7500 0.2500 0.2500
0.7500 0.2500 0.7500
0.7500 0.7500 0.2500
0.7500 0.7500 0.7500
0.0000 0.0000 0.5000
0.0000 0.5000 0.0000
0.5000 0.0000 0.0000
0.5000 0.5000 0.5000
```

Output
ΔE_f	0.23	eV/atom



Record 2
DFT (PBE-GGA) results for a relaxed CePa2Cu6 crystal.

```
CePa2Cu6
1.0
7.6515 0.0000 0.0000
-3.8258 6.6264 0.0000
0.0000 0.0000 3.1245
Ce Pa Cu
1 2 6
Direct
0.0000 0.0000 0.0000
0.3333 0.6667 0.0000
0.6667 0.3333 0.0000
0.0000 0.3351 0.5000
0.0000 0.6649 0.5000
0.3351 0.0000 0.5000
0.3351 0.3351 0.5000
0.6649 0.0000 0.5000
0.6649 0.6649 0.5000
```

Output
ΔE_f	-0.08	eV/atom



Record 3
DFT (PBE-GGA) results for a relaxed HfAl2Cd crystal.

```
HfAl2Cd
1.0
7.4856 0.0000 0.0000
0.0000 7.4856 0.0000
0.0000 0.0000 5.8537
Hf Al Cd
4 8 4
Direct
0.0000 0.0000 0.0000
0.0000 0.5000 0.2500
0.5000 0.0000 0.7500
0.5000 0.5000 0.5000
0.2294 0.7500 0.6250
0.2500 0.2294 0.3750
0.2500 0.2706 0.8750
0.2706 0.7500 0.1250
0.7294 0.2500 0.1250
0.7500 0.7294 0.8750
0.7500 0.7706 0.3750
0.7706 0.2500 0.6250
0.0000 0.0000 0.5000
0.0000 0.5000 0.7500
0.5000 0.0000 0.2500
0.5000 0.5000 0.0000
```

Output
ΔE_f	0.22	eV/atom



Record 4
DFT (PBE-GGA) results for a relaxed Hf2TaMo crystal.

```
Hf2TaMo
1.0
3.1032 0.0000 0.0000
-1.5516 2.6874 0.0000
0.0000 0.0000 29.3999
Hf Ta Mo
6 3 3
Direct
0.0000 0.0000 0.0954
0.0000 0.0000 0.9046
0.3333 0.6667 0.5713
0.3333 0.6667 0.7621
0.6667 0.3333 0.2379
0.6667 0.3333 0.4287
0.0000 0.0000 0.0000
0.3333 0.6667 0.6667
0.6667 0.3333 0.3333
0.0000 0.0000 0.5000
0.3333 0.6667 0.1667
0.6667 0.3333 0.8333
```

Output
ΔE_f	0.52	eV/atom



Record 5
DFT (PBE-GGA) results for a relaxed SbSe2O6 crystal.

```
SbSe2O6
1.0
2.5696 1.4836 6.7042
-2.5696 1.4836 6.7042
0.0000 -2.9671 6.7042
Sb Se O
1 2 6
Direct
0.0000 0.0000 0.0000
0.5652 0.5652 0.5652
0.7676 0.7676 0.7676
0.0305 0.7579 0.4112
0.2762 0.6268 0.8954
0.4112 0.0305 0.7579
0.6268 0.8954 0.2762
0.7579 0.4112 0.0305
0.8954 0.2762 0.6268
```

Output
energy relative to the elements, uncorrected	-0.840	eV/atom



Record 6
DFT (PBE-GGA) results for a relaxed Sm4Sn3Hg crystal.

```
Sm4Sn3Hg
1.0
4.4124 0.0000 0.0000
0.0000 4.5408 0.0000
0.0000 0.0000 11.6697
Sm Sn Hg
4 3 1
Direct
0.0000 0.0000 0.0000
0.0000 0.5000 0.4993
0.5000 0.0000 0.2731
0.5000 0.5000 0.7736
0.0000 0.0000 0.7260
0.0000 0.5000 0.2212
0.5000 0.0000 0.5451
0.5000 0.5000 0.0469
```

Output
ΔE_f	-0.69	eV/atom



Record 7
DFT (PBE-GGA) results for a relaxed V2Cr2N crystal.

```
V2Cr2N
1.0
2.9469 0.0000 0.0000
0.0000 2.9469 0.0000
0.0000 0.0000 13.7428
V Cr N
4 4 2
Direct
0.0000 0.0000 0.0841
0.0000 0.0000 0.9159
0.5000 0.5000 0.4159
0.5000 0.5000 0.5841
0.0000 0.5000 0.2500
0.0000 0.5000 0.7500
0.5000 0.0000 0.2500
0.5000 0.0000 0.7500
0.0000 0.0000 0.5000
0.5000 0.5000 0.0000
```

Output
energy relative to the elements, uncorrected	0.572	eV/atom



Record 8
DFT (PBE-GGA) results for a relaxed BiP2Au2 crystal.

```
BiP2Au2
1.0
4.1539 0.0000 0.0000
0.0000 4.1539 0.0000
0.0000 0.0000 11.8649
Bi P Au
2 4 4
Direct
0.0000 0.0000 0.0000
0.5000 0.5000 0.5000
0.0000 0.5000 0.2500
0.0000 0.5000 0.7500
0.5000 0.0000 0.2500
0.5000 0.0000 0.7500
0.0000 0.0000 0.3834
0.0000 0.0000 0.6166
0.5000 0.5000 0.1166
0.5000 0.5000 0.8834
```

Output
ΔE_f	0.30	eV/atom



Record 9
DFT (PBE-GGA) results for a relaxed LiAc3In crystal.

```
LiAc3In
1.0
2.8587 -11.0660 0.0000
2.8587 11.0660 0.0000
0.0000 0.0000 5.7183
Li Ac In
2 6 2
Direct
0.1548 0.8452 0.7500
0.8452 0.1548 0.2500
0.0627 0.9373 0.2500
0.2506 0.7494 0.2500
0.4362 0.5638 0.2500
0.5638 0.4362 0.7500
0.7494 0.2506 0.7500
0.9373 0.0627 0.7500
0.3427 0.6573 0.7500
0.6573 0.3427 0.2500
```

Output
ΔE_f	-0.16	eV/atom



Record 10
DFT (PBE-GGA) results for a relaxed Nd16Sm6Tm7 crystal.

```
Nd16Sm6Tm7
1.0
0.0000 7.9779 7.9779
7.9779 0.0000 7.9779
7.9779 7.9779 0.0000
Nd Sm Tm
16 6 7
Direct
0.0416 0.6528 0.6528
0.1219 0.1219 0.1219
0.1219 0.1219 0.6342
0.1219 0.6342 0.1219
0.3472 0.3472 0.3472
0.3472 0.3472 0.9584
0.3472 0.9584 0.3472
0.3658 0.8781 0.8781
0.6342 0.1219 0.1219
0.6528 0.0416 0.6528
0.6528 0.6528 0.0416
0.6528 0.6528 0.6528
0.8781 0.3658 0.8781
0.8781 0.8781 0.3658
0.8781 0.8781 0.8781
0.9584 0.3472 0.3472
0.2890 0.2890 0.7110
0.2890 0.7110 0.2890
0.2890 0.7110 0.7110
0.7110 0.2890 0.2890
0.7110 0.2890 0.7110
0.7110 0.7110 0.2890
0.0000 0.0000 0.0000
0.0000 0.0000 0.5000
0.0000 0.5000 0.0000
0.0000 0.5000 0.5000
0.5000 0.0000 0.0000
0.5000 0.0000 0.5000
0.5000 0.5000 0.0000
```

Output
ΔE_f	0.20	eV/atom



Record 11
DFT (PBE-GGA) results for a relaxed NaLiI2O crystal.

```
NaLiI2O
1.0
6.0213 0.0000 0.0000
0.0000 6.0213 0.0000
0.0000 0.0000 4.3917
Na Li I O
1 1 2 1
Direct
0.0000 0.0000 0.0000
0.5000 0.5000 0.5000
0.0000 0.5000 0.0000
0.5000 0.0000 0.0000
0.0000 0.0000 0.5000
```

Output
energy relative to the elements, uncorrected	-0.327	eV/atom



Record 12
DFT (PBE-GGA) results for a relaxed TiCr2In2S6 crystal.

```
TiCr2In2S6
1.0
3.0256 -5.2504 0.0000
3.0256 5.2504 0.0000
-1.9637 0.0000 7.3507
Ti Cr In S
1 2 2 6
Direct
0.0000 0.0000 0.0000
0.3321 0.6679 0.0000
0.6679 0.3321 0.0000
0.1629 0.8371 0.5000
0.8371 0.1629 0.5000
0.0600 0.3971 0.1840
0.2787 0.2787 0.8163
0.3971 0.0600 0.1840
0.6029 0.9400 0.8160
0.7213 0.7213 0.1837
0.9400 0.6029 0.8160
```

Output
energy relative to the elements, uncorrected	-0.750	eV/atom



Record 13
DFT (PBE-GGA) results for a relaxed Bi3PI crystal.

```
Bi3PI
1.0
5.5276 0.0000 0.0000
0.0000 5.5276 0.0000
0.0000 0.0000 5.5276
Bi P I
3 1 1
Direct
0.0000 0.0000 0.5000
0.0000 0.5000 0.0000
0.5000 0.0000 0.0000
0.0000 0.0000 0.0000
0.5000 0.5000 0.5000
```

Output
energy relative to the elements, uncorrected	0.451	eV/atom



Record 14
DFT (PBE-GGA) results for a relaxed TlReMo2 crystal.

```
TlReMo2
1.0
2.9563 0.0000 0.0000
0.0000 4.0389 0.0000
0.0000 0.0000 5.8356
Tl Re Mo
1 1 2
Direct
0.0000 0.0000 0.0000
0.0000 0.0000 0.5000
0.5000 0.5000 0.2915
0.5000 0.5000 0.7085
```

Output
ΔE_f	0.48	eV/atom



Record 15
DFT (PBE-GGA) results for a relaxed HfB2W crystal.

```
HfB2W
1.0
3.1685 0.0000 0.0000
0.0000 3.2835 0.0000
0.0000 0.0000 8.8685
Hf B W
2 4 2
Direct
0.0000 0.0000 0.0000
0.0000 0.5000 0.5000
0.0000 0.0000 0.2913
0.0000 0.5000 0.7913
0.5000 0.0000 0.4014
0.5000 0.5000 0.9014
0.5000 0.0000 0.7111
0.5000 0.5000 0.2111
```

Output
ΔE_f	-0.68	eV/atom



Record 16
DFT (PBE-GGA) results for a relaxed PuMgFe crystal.

```
PuMgFe
1.0
2.8475 0.0000 0.0000
-1.0001 5.3038 0.0000
-0.4355 -2.7473 6.7237
Pu Mg Fe
2 2 2
Direct
0.0336 0.2941 0.0053
0.9664 0.7059 0.9947
0.3831 0.2892 0.5926
0.6169 0.7108 0.4074
0.1912 0.8429 0.7609
0.8088 0.1571 0.2391
```

Output
ΔE_f	0.26	eV/atom



Record 17
DFT (PBE-GGA) results for a relaxed Mn2CoSi crystal.

```
Mn2CoSi
1.0
2.8883 0.0000 0.0000
0.0000 3.9116 0.0000
0.0000 0.0000 3.9462
Mn Co Si
2 1 1
Direct
0.0000 0.0000 0.0000
0.5000 0.0000 0.5000
0.0000 0.5000 0.5000
0.5000 0.5000 0.0000
```

Output
energy relative to the elements, uncorrected	-0.308	eV/atom



Record 18
DFT (PBE-GGA) results for a relaxed Zn2CuCl crystal.

```
Zn2CuCl
1.0
3.4534 0.0000 0.0000
0.0000 5.0989 0.0000
0.0000 0.0000 7.6707
Zn Cu Cl
4 2 2
Direct
0.0000 0.0000 0.2345
0.0000 0.0000 0.7655
0.5000 0.5000 0.2345
0.5000 0.5000 0.7655
0.0000 0.5000 0.0000
0.5000 0.0000 0.0000
0.0000 0.5000 0.5000
0.5000 0.0000 0.5000
```

Output
energy relative to the elements, uncorrected	-0.017	eV/atom



Record 19
DFT (PBE-GGA) results for a relaxed BaTaW2 crystal.

```
BaTaW2
1.0
5.1247 0.0000 0.0000
0.0000 5.1247 0.0000
0.0000 0.0000 18.2410
Ba Ta W
4 4 8
Direct
0.0000 0.2500 0.3750
0.0000 0.7500 0.6250
0.5000 0.2500 0.1250
0.5000 0.7500 0.8750
0.0000 0.2500 0.8750
0.0000 0.7500 0.1250
0.5000 0.2500 0.6250
0.5000 0.7500 0.3750
0.0000 0.0000 0.0000
0.0000 0.5000 0.0000
0.2500 0.2500 0.7500
0.2500 0.7500 0.2500
0.5000 0.0000 0.5000
0.5000 0.5000 0.5000
0.7500 0.2500 0.7500
0.7500 0.7500 0.2500
```

Output
ΔE_f	1.62	eV/atom



Record 20
DFT (PBE-GGA) results for a relaxed VGaI4 crystal.

```
VGaI4
1.0
7.1672 0.0000 0.0000
0.0000 4.1528 0.0000
-0.2786 0.0000 7.5301
V Ga I
1 1 4
Direct
0.0000 0.0000 0.0000
0.0000 0.5000 0.5000
0.2151 0.5000 0.8571
0.2294 0.0000 0.3045
0.7706 0.0000 0.6955
0.7849 0.5000 0.1429
```

Output
energy relative to the elements, uncorrected	-0.444	eV/atom



Looking at final energy for the records above, in order, we have -7.3428; -5.5797; -4.3641; -10.1279; -5.3782; -4.5835; -8.5904; -3.9495; -3.5551; -4.4836; -2.5857; -5.9669; -3.2692; -8.6385; -9.7406; -7.8668; -8.0254; -2.1401; -8.2961; -3.5020 eV per atom.
Looking at DOS(E_F) for the records above, in order, we have 3.695; 0.930; 0.381; 1.156; 0.223; 1.021; 1.098; 0.548; 1.257; 1.855; 0.695; 0.027; 1.819; 0.574; 0.128; 1.275; 0.499; 0.167; 1.448; 0.200 states/eV per atom.